The following is a GGA-PBE calculation of a geometry-optimized TlCo2ReCl structure, from Alexandria.

```
TlCo2ReCl
1.0
4.967 0.000 0.000
0.000 4.967 0.000
0.000 0.000 5.304
Tl Co Re Cl
1 2 1 1
direct
0.000 0.000 0.000
0.000 0.500 0.000
0.500 0.000 0.000
0.000 0.000 0.500
0.500 0.500 0.500
```

Computed properties:
Theoretical density in Mg/m³: 6.90
Formation energy (no corrections) in eV per atom: 2.158
Total DFT energy (no corrections) in eV for the cell shown: -20.1
Space group: P4/mmm, No. 123
Spin magnetization in μB per atom: 1.588


The following is a GGA-PBE calculation of a geometry-optimized CoRhCl2 structure, from Alexandria.

```
CoRhCl2
1.0
3.097 0.000 0.000
0.000 3.097 0.000
0.000 0.000 6.515
Co Rh Cl
1 1 2
direct
0.000 0.000 0.000
0.000 0.000 0.500
0.500 0.500 0.232
0.500 0.500 0.768
```

Computed properties:
Theoretical density in Mg/m³: 6.19
Energy relative to the lowest polymorph listed for this composition in meV per atom: 614
Formation energy (no corrections) in eV per atom: 0.547
Total DFT energy (no corrections) in eV for the cell shown: -16.0
Space group: P4/mmm, No. 123
Spin magnetization in μB per atom: 1.005


The following is a GGA-PBE calculation of a geometry-optimized Co3RhCl structure, from Alexandria.

```
Co3RhCl
1.0
4.637 0.000 0.000
0.000 4.637 0.000
0.000 0.000 4.637
Co Rh Cl
3 1 1
direct
0.000 0.000 0.500
0.000 0.500 0.000
0.500 0.000 0.000
0.000 0.000 0.000
0.500 0.500 0.500
```

Computed properties:
Theoretical density in Mg/m³: 5.25
Energy relative to the lowest polymorph listed for this composition in meV per atom: 445
Formation energy (no corrections) in eV per atom: 1.262
Total DFT energy (no corrections) in eV for the cell shown: -24.2
Space group: Pm-3m, No. 221
Spin magnetization in μB per atom: 1.467


The following is a GGA-PBE calculation of a geometry-optimized CoRhCl2 structure, from Alexandria.

```
CoRhCl2
1.0
1.517 -2.895 0.000
1.517 2.895 0.000
0.000 0.000 7.671
Co Rh Cl
1 1 2
direct
0.000 0.000 0.000
0.000 0.000 0.500
0.500 0.500 0.230
0.500 0.500 0.770
```

Computed properties:
Theoretical density in Mg/m³: 5.74
Energy relative to the lowest polymorph listed for this composition in meV per atom: 414
Formation energy (no corrections) in eV per atom: 0.347
Total DFT energy (no corrections) in eV for the cell shown: -16.8
Space group: Cmmm, No. 65
Spin magnetization in μB per atom: 0.182


The following is a GGA-PBE calculation of a geometry-optimized CoRhCl2 structure, from Alexandria.

```
CoRhCl2
1.0
-1.729 1.729 5.730
1.729 -1.729 5.730
1.729 1.729 -5.730
Co Rh Cl
1 1 2
direct
0.000 0.000 0.000
0.250 0.750 0.500
0.500 0.500 0.000
0.750 0.250 0.500
```

Computed properties:
Theoretical density in Mg/m³: 5.64
Energy relative to the lowest polymorph listed for this composition in meV per atom: 493
Formation energy (no corrections) in eV per atom: 0.426
Total DFT energy (no corrections) in eV for the cell shown: -16.4
Space group: I-4m2, No. 119
Spin magnetization in μB per atom: 0.700


The following is a GGA-PBE calculation of a geometry-optimized CoRhCl2 structure, from Alexandria.

```
CoRhCl2
1.0
3.230 0.000 0.000
0.000 3.840 0.000
-0.519 0.000 5.372
Co Rh Cl
1 1 2
direct
0.000 0.000 0.000
0.500 0.000 0.500
0.249 0.500 0.244
0.751 0.500 0.756
```

Computed properties:
Theoretical density in Mg/m³: 5.80
Energy relative to the lowest polymorph listed for this composition in meV per atom: 445
Formation energy (no corrections) in eV per atom: 0.378
Total DFT energy (no corrections) in eV for the cell shown: -16.6
Space group: P2/m, No. 10
Spin magnetization in μB per atom: 0.422


The following is a GGA-PBE calculation of a geometry-optimized CoRhCl2 structure, from Alexandria.

```
CoRhCl2
1.0
-2.769 2.769 5.244
2.769 -2.769 5.244
2.769 2.769 -5.244
Co Rh Cl
2 2 4
direct
0.000 0.000 0.000
0.750 0.250 0.500
0.250 0.750 0.500
0.500 0.500 0.000
0.095 0.625 0.970
0.375 0.345 0.470
0.655 0.125 0.030
0.875 0.905 0.530
```

Computed properties:
Theoretical density in Mg/m³: 4.81
Energy relative to the lowest polymorph listed for this composition in meV per atom: 334
Formation energy (no corrections) in eV per atom: 0.267
Total DFT energy (no corrections) in eV for the cell shown: -34.2
Space group: I-42d, No. 122
Spin magnetization in μB per atom: 1.000


The following is a GGA-PBE calculation of a geometry-optimized CoRhCl2 structure, from Alexandria.

```
CoRhCl2
1.0
-1.507 2.888 3.829
1.507 -2.888 3.829
1.507 2.888 -3.829
Co Rh Cl
1 1 2
direct
0.000 0.000 0.000
0.500 0.500 0.000
0.236 0.736 0.500
0.764 0.264 0.500
```

Computed properties:
Theoretical density in Mg/m³: 5.80
Energy relative to the lowest polymorph listed for this composition in meV per atom: 438
Formation energy (no corrections) in eV per atom: 0.371
Total DFT energy (no corrections) in eV for the cell shown: -16.7
Space group: Immm, No. 71
Spin magnetization in μB per atom: 0.497


The following is a GGA-PBE calculation of a geometry-optimized CoRhCl2 structure, from Alexandria.

```
CoRhCl2
1.0
0.000 3.204 3.204
3.204 0.000 3.204
3.204 3.204 0.000
Co Rh Cl
1 1 2
direct
0.000 0.000 0.000
0.750 0.750 0.750
0.250 0.250 0.250
0.500 0.500 0.500
```

Computed properties:
Theoretical density in Mg/m³: 5.87
Energy relative to the lowest polymorph listed for this composition in meV per atom: 816
Formation energy (no corrections) in eV per atom: 0.749
Total DFT energy (no corrections) in eV for the cell shown: -15.2
Space group: F-43m, No. 216
Spin magnetization in μB per atom: 1.025


The following is a GGA-PBE calculation of a geometry-optimized CoRhCl2 structure, from Alexandria.

```
CoRhCl2
1.0
3.049 0.000 0.000
0.000 3.832 0.000
0.000 0.000 5.804
Co Rh Cl
1 1 2
direct
0.000 0.000 0.000
0.500 0.000 0.500
0.000 0.500 0.500
0.500 0.500 0.000
```

Computed properties:
Theoretical density in Mg/m³: 5.70
Energy relative to the lowest polymorph listed for this composition in meV per atom: 451
Formation energy (no corrections) in eV per atom: 0.384
Total DFT energy (no corrections) in eV for the cell shown: -16.6
Space group: Pmmm, No. 47
Spin magnetization in μB per atom: 0.682


The following is a GGA-PBE calculation of a geometry-optimized CoRhCl6 structure, from Alexandria.

```
CoRhCl6
1.0
2.954 -5.926 0.000
2.954 5.926 0.000
-1.770 0.000 5.652
Co Rh Cl
1 1 6
direct
0.000 0.000 0.000
0.500 0.500 0.500
0.123 0.391 0.248
0.240 0.240 0.735
0.391 0.123 0.248
0.609 0.877 0.752
0.760 0.760 0.265
0.877 0.609 0.752
```

Computed properties:
Theoretical density in Mg/m³: 3.14
Formation energy (no corrections) in eV per atom: -0.443
Total DFT energy (no corrections) in eV for the cell shown: -29.1
Space group: C2/m, No. 12
Spin magnetization in μB per atom: 0.493


The following is a GGA-PBE calculation of a geometry-optimized CoRhCl2 structure, from Alexandria.

```
CoRhCl2
1.0
1.853 -2.708 0.000
1.853 2.708 0.000
0.000 0.000 7.826
Co Rh Cl
1 1 2
direct
0.000 0.000 0.000
0.500 0.500 0.177
0.000 0.000 0.388
0.500 0.500 0.819
```

Computed properties:
Theoretical density in Mg/m³: 4.92
Energy relative to the lowest polymorph listed for this composition in meV per atom: 179
Formation energy (no corrections) in eV per atom: 0.112
Total DFT energy (no corrections) in eV for the cell shown: -17.7
Space group: Cmm2, No. 35
Spin magnetization in μB per atom: 0.678


The following is a GGA-PBE calculation of a geometry-optimized CoRhCl2 structure, from Alexandria.

```
CoRhCl2
1.0
4.131 -1.715 0.000
4.131 1.715 0.000
-0.904 0.000 6.408
Co Rh Cl
1 1 2
direct
0.000 0.000 0.000
0.292 0.292 0.083
0.418 0.418 0.765
0.634 0.634 0.278
```

Computed properties:
Theoretical density in Mg/m³: 4.26
Energy relative to the lowest polymorph listed for this composition in meV per atom: 108
Formation energy (no corrections) in eV per atom: 0.041
Total DFT energy (no corrections) in eV for the cell shown: -18.0
Space group: Cm, No. 8
Spin magnetization in μB per atom: 1.003


The following is a GGA-PBE calculation of a geometry-optimized Co2RhCl6 structure, from Alexandria.

```
Co2RhCl6
1.0
5.970 -5.370 0.000
5.970 5.370 0.000
-1.226 0.000 6.367
Co Rh Cl
4 2 12
direct
0.109 0.284 0.306
0.284 0.109 0.806
0.716 0.891 0.194
0.891 0.716 0.694
0.410 0.590 0.750
0.590 0.410 0.250
0.056 0.212 0.613
0.136 0.626 0.865
0.212 0.056 0.113
0.312 0.466 0.384
0.374 0.864 0.635
0.466 0.312 0.884
0.534 0.688 0.116
0.626 0.136 0.365
0.688 0.534 0.616
0.788 0.944 0.887
0.864 0.374 0.135
0.944 0.788 0.387
```

Computed properties:
Theoretical density in Mg/m³: 3.53
Formation energy (no corrections) in eV per atom: -0.471
Total DFT energy (no corrections) in eV for the cell shown: -73.8
Space group: C2/c, No. 15
Spin magnetization in μB per atom: 0.555


The following is a GGA-PBE calculation of a geometry-optimized CoRhCl2 structure, from Alexandria.

```
CoRhCl2
1.0
1.732 1.000 7.207
-1.732 1.000 7.207
0.000 -2.000 7.207
Co Rh Cl
1 1 2
direct
0.000 0.000 0.000
0.500 0.500 0.500
0.098 0.098 0.098
0.902 0.902 0.902
```

Computed properties:
Theoretical density in Mg/m³: 5.16
Energy relative to the lowest polymorph listed for this composition in meV per atom: 436
Formation energy (no corrections) in eV per atom: 0.369
Total DFT energy (no corrections) in eV for the cell shown: -16.7
Space group: R-3m, No. 166
Spin magnetization in μB per atom: 0.514


The following is a GGA-PBE calculation of a geometry-optimized CoRhCl2 structure, from Alexandria.

```
CoRhCl2
1.0
3.558 0.000 0.000
0.000 3.461 0.000
-0.056 0.000 6.734
Co Rh Cl
1 1 2
direct
0.000 0.000 0.000
0.483 0.500 0.108
0.202 0.500 0.785
0.739 0.000 0.321
```

Computed properties:
Theoretical density in Mg/m³: 4.66
Energy relative to the lowest polymorph listed for this composition in meV per atom: 70
Formation energy (no corrections) in eV per atom: 0.003
Total DFT energy (no corrections) in eV for the cell shown: -18.1
Space group: Pm, No. 6
Spin magnetization in μB per atom: 0.687


The following is a GGA-PBE calculation of a geometry-optimized CoRhCl2 structure, from Alexandria.

```
CoRhCl2
1.0
6.475 -1.540 0.000
6.475 1.540 0.000
-0.567 0.000 4.360
Co Rh Cl
1 1 2
direct
0.000 0.000 0.000
0.500 0.500 0.500
0.366 0.366 0.805
0.634 0.634 0.195
```

Computed properties:
Theoretical density in Mg/m³: 4.45
Energy relative to the lowest polymorph listed for this composition in meV per atom: 88
Formation energy (no corrections) in eV per atom: 0.021
Total DFT energy (no corrections) in eV for the cell shown: -18.1
Space group: C2/m, No. 12
Spin magnetization in μB per atom: 0.849


The following is a GGA-PBE calculation of a geometry-optimized Co3RhCl structure, from Alexandria.

```
Co3RhCl
1.0
4.085 0.000 0.000
0.000 4.085 0.000
0.000 0.000 4.085
Co Rh Cl
3 1 1
direct
0.000 0.000 0.500
0.000 0.500 0.000
0.500 0.000 0.000
0.500 0.500 0.500
0.000 0.000 0.000
```

Computed properties:
Theoretical density in Mg/m³: 7.68
Energy relative to the lowest polymorph listed for this composition in meV per atom: 0
Formation energy (no corrections) in eV per atom: 0.817
Total DFT energy (no corrections) in eV for the cell shown: -26.4
Space group: Pm-3m, No. 221
Spin magnetization in μB per atom: 0.970


The following is a GGA-PBE calculation of a geometry-optimized CoRhCl2 structure, from Alexandria.

```
CoRhCl2
1.0
1.614 0.932 7.567
-1.614 0.932 7.567
0.000 -1.864 7.567
Co Rh Cl
1 1 2
direct
0.000 0.000 0.000
0.500 0.500 0.500
0.398 0.398 0.398
0.602 0.602 0.602
```

Computed properties:
Theoretical density in Mg/m³: 5.66
Energy relative to the lowest polymorph listed for this composition in meV per atom: 171
Formation energy (no corrections) in eV per atom: 0.103
Total DFT energy (no corrections) in eV for the cell shown: -17.7
Space group: R-3m, No. 166
Spin magnetization in μB per atom: 0.600


The following is a GGA-PBE calculation of a geometry-optimized CoRhCl2 structure, from Alexandria.

```
CoRhCl2
1.0
1.774 1.024 7.350
-1.774 1.024 7.350
0.000 -2.049 7.350
Co Rh Cl
1 1 2
direct
0.000 0.000 0.000
0.279 0.279 0.279
0.548 0.548 0.548
0.724 0.724 0.724
```

Computed properties:
Theoretical density in Mg/m³: 4.82
Energy relative to the lowest polymorph listed for this composition in meV per atom: 0
Formation energy (no corrections) in eV per atom: -0.067
Total DFT energy (no corrections) in eV for the cell shown: -18.4
Space group: R3m, No. 160
Spin magnetization in μB per atom: 0.416